No. 1
Computed, not measured: a relaxed Li7Mg crystal at the PBE-GGA level of DFT.

The space group is Fm-3m (No. 225) and the conventional cell measures 8.6379, 8.6379 and 8.6379 Å, with angles of 90.00, 90.00 and 90.00 degrees. The inequivalent atoms are Li at (0.0000, 0.0000, 0.0000), Li at (0.0000, 0.2500, 0.2500) and Mg at (0.0000, 0.0000, 0.5000).

The formation energy comes out at -0.017 eV per atom. The total DFT energy (no corrections) comes out at -60.516 eV per cell. For the total moment, the calculation gives 0.00 μB per cell. For the density of states at the Fermi level, the calculation gives 13.3 states/eV/cell.

No. 2
Computed, not measured: a relaxed SrY2InH crystal at the PBE-GGA level of DFT.

The space group is P4/mmm (No. 123) and the conventional cell measures 4.9882, 4.9882 and 5.0296 Å, with angles of 90.00, 90.00 and 90.00 degrees. The inequivalent atoms are Sr at (0.0000, 0.0000, 0.0000), Y at (0.0000, 0.5000, 0.5000), In at (0.5000, 0.5000, 0.0000) and H at (0.0000, 0.0000, 0.5000).

The total DFT energy (no corrections) comes out at -21.913 eV per cell. For the total moment, the calculation gives 0.62 μB per cell. For the density of states at the Fermi level, the calculation gives 4.7 states/eV/cell.

No. 3
Computed, not measured: a relaxed Ta2InRhN crystal at the PBE-GGA level of DFT.

The space group is P4/mmm (No. 123) and the conventional cell measures 4.7787, 4.7787 and 4.9569 Å, with angles of 90.00, 90.00 and 90.00 degrees. The inequivalent atoms are Ta at (0.0000, 0.5000, 0.0000), In at (0.0000, 0.0000, 0.5000), Rh at (0.0000, 0.0000, 0.0000) and N at (0.5000, 0.5000, 0.5000).

The total DFT energy (no corrections) comes out at -32.813 eV per cell. For the total moment, the calculation gives 0.00 μB per cell. For the density of states at the Fermi level, the calculation gives 5.5 states/eV/cell. The uncorrected formation energy is 9.3 eV/f.u.

No. 4
Computed, not measured: a relaxed NdTl2As2O6 crystal at the PBE-GGA level of DFT.

The space group is C2/m (No. 12) and the conventional cell measures 10.1218, 6.1879 and 7.6227 Å, with angles of 90.00, 117.61 and 90.00 degrees. The inequivalent atoms are Nd at (0.0000, 0.0000, 0.0000), Tl at (0.2134, 0.0000, 0.6955), As at (0.0567, 0.5000, 0.7252), O at (0.0363, 0.2781, 0.2339) and O at (0.2422, 0.5000, 0.9179).

The total DFT energy (no corrections) comes out at -131.572 eV per cell. For the total moment, the calculation gives 0.06 μB per cell. For the density of states at the Fermi level, the calculation gives 8.5 states/eV/cell. The uncorrected formation energy is -17.2 eV/f.u.

Q: Which of these has the highest total moment?
A: SrY2InH

What did the third record say?
Computed, not measured: a relaxed Ta2InRhN crystal at the PBE-GGA level of DFT.

The space group is P4/mmm (No. 123) and the conventional cell measures 4.7787, 4.7787 and 4.9569 Å, with angles of 90.00, 90.00 and 90.00 degrees. The inequivalent atoms are Ta at (0.0000, 0.5000, 0.0000), In at (0.0000, 0.0000, 0.5000), Rh at (0.0000, 0.0000, 0.0000) and N at (0.5000, 0.5000, 0.5000).

The total DFT energy (no corrections) comes out at -32.813 eV per cell. For the total moment, the calculation gives 0.00 μB per cell. For the density of states at the Fermi level, the calculation gives 5.5 states/eV/cell. The uncorrected formation energy is 9.3 eV/f.u.